Density functional theory data (GGA-PBE) for crystalline Er6MoP2 at its relaxed geometry.

Lattice parameters (Å, degrees): 7.6473 7.6473 4.2456 90.00 90.00 120.00
Last column: nearest neighbours and their distance in Å.
Fractional positions:
P 0.3333 0.6667 0.0000  9 Er 2.91-3.14
P 0.6667 0.3333 0.0000  9 Er 2.91-3.14
Er 0.4088 0.0000 0.5000  1 Mo 3.13, 4 P 3.14, 6 Er 3.35-3.46
Er 0.5912 0.5912 0.5000  1 Mo 3.13, 4 P 3.14, 6 Er 3.35-3.46
Er 0.0000 0.7470 0.0000  2 Mo 2.87, 2 P 2.91
Er 0.7470 0.0000 0.0000  2 Mo 2.87, 2 P 2.91
Er 0.0000 0.4088 0.5000  1 Mo 3.13, 4 P 3.14, 6 Er 3.35-3.46
Er 0.2530 0.2530 0.0000  2 Mo 2.87, 2 P 2.91
Mo 0.0000 0.0000 0.5000  9 Er 2.87-3.13

Computed properties:
For the total energy, the calculation gives -6.05 eV per atom.

Density functional theory data (GGA-PBE) for crystalline ErPaMo at its relaxed geometry.

Lattice parameters (Å, degrees): 4.7932 4.7932 4.7932 60.00 60.00 60.00
Last column: nearest neighbours and their distance in Å.
Fractional positions:
Mo 0.0000 0.0000 0.0000  4 Pa 2.94, 4 Er 2.94
Pa 0.7500 0.7500 0.7500  4 Mo 2.94
Er 0.2500 0.2500 0.2500  4 Mo 2.94

Computed properties:
For the total energy, the calculation gives -7.85 eV per atom. The energy above the lowest structure with this stoichiometry is 0.000 eV per formula unit. The value obtained for the formation enthalpy at 0 K is 448 meV/atom.

Density functional theory data (GGA-PBE) for crystalline ErMoPb at its relaxed geometry.

Lattice parameters (Å, degrees): 4.9601 4.9601 4.9601 60.00 60.00 60.00
Last column: nearest neighbours and their distance in Å.
Fractional positions:
Er 0.0000 0.0000 0.0000  4 Pb 3.04, 4 Mo 3.04
Mo 0.2500 0.2500 0.2500  4 Er 3.04
Pb 0.7500 0.7500 0.7500  4 Er 3.04

Computed properties:
For the total energy, the calculation gives -5.30 eV per atom. The energy above the lowest structure with this stoichiometry is 1.260 eV per formula unit.

Density functional theory data (GGA-PBE) for crystalline ErMoPb at its relaxed geometry.

Lattice parameters (Å, degrees): 4.7870 4.7870 4.7870 60.00 60.00 60.00
Last column: nearest neighbours and their distance in Å.
Fractional positions:
Mo 0.7500 0.7500 0.7500  4 Pb 2.93
Pb 0.0000 0.0000 0.0000  4 Mo 2.93, 4 Er 2.93
Er 0.2500 0.2500 0.2500  4 Pb 2.93

Computed properties:
For the total energy, the calculation gives -5.72 eV per atom. The energy above the lowest structure with this stoichiometry is 0.000 eV per formula unit.

Density functional theory data (GGA-PBE) for crystalline ErMoPd at its relaxed geometry.

Lattice parameters (Å, degrees): 4.5791 4.5791 4.5791 60.00 60.00 60.00
Last column: nearest neighbours and their distance in Å.
Fractional positions:
Mo 0.2500 0.2500 0.2500  4 Er 2.80
Er 0.0000 0.0000 0.0000  4 Mo 2.80, 4 Pd 2.80
Pd 0.7500 0.7500 0.7500  4 Er 2.80

Computed properties:
For the total energy, the calculation gives -6.03 eV per atom. The energy above the lowest structure with this stoichiometry is 1.311 eV per formula unit. The value obtained for the formation enthalpy at 0 K is 833 meV/atom.

Density functional theory data (GGA-PBE) for crystalline ErMoPd at its relaxed geometry.

Lattice parameters (Å, degrees): 4.5250 4.5250 4.5250 60.00 60.00 60.00
Last column: nearest neighbours and their distance in Å.
Fractional positions:
Pd 0.7500 0.7500 0.7500  4 Mo 2.77, 4 Er 2.77
Mo 0.5000 0.5000 0.5000  4 Pd 2.77
Er 0.0000 0.0000 0.0000  4 Pd 2.77

Computed properties:
For the total energy, the calculation gives -6.47 eV per atom. The energy above the lowest structure with this stoichiometry is 0.000 eV per formula unit. The value obtained for the formation enthalpy at 0 K is 396 meV/atom.

Density functional theory data (GGA-PBE) for crystalline ErSbMo at its relaxed geometry.

Lattice parameters (Å, degrees): 4.8914 4.8914 4.8914 60.00 60.00 60.00
Last column: nearest neighbours and their distance in Å.
Fractional positions:
Er 0.0000 0.0000 0.0000  4 Sb 3.00, 4 Mo 3.00
Sb 0.7500 0.7500 0.7500  4 Er 3.00
Mo 0.2500 0.2500 0.2500  4 Er 3.00

Computed properties:
For the total energy, the calculation gives -5.68 eV per atom. The energy above the lowest structure with this stoichiometry is 1.802 eV per formula unit.

Density functional theory data (GGA-PBE) for crystalline ErSbMo at its relaxed geometry.

Lattice parameters (Å, degrees): 4.6791 4.6791 4.6791 60.00 60.00 60.00
Last column: nearest neighbours and their distance in Å.
Fractional positions:
Mo 0.7500 0.7500 0.7500  4 Sb 2.87, 4 Er 2.87
Sb 0.5000 0.5000 0.5000  4 Mo 2.87
Er 0.0000 0.0000 0.0000  4 Mo 2.87

Computed properties:
For the total energy, the calculation gives -6.28 eV per atom. The energy above the lowest structure with this stoichiometry is 0.000 eV per formula unit.

Density functional theory data (GGA-PBE) for crystalline ErSiMo at its relaxed geometry.

Lattice parameters (Å, degrees): 4.8855 4.8855 2.8442 90.00 90.00 120.00
Last column: nearest neighbours and their distance in Å.
Fractional positions:
Mo 0.6667 0.3333 0.0000  3 Si 2.82, 3 Er 2.82, 2 Mo 2.84
Si 0.3333 0.6667 0.0000  3 Mo 2.82, 3 Er 2.82, 2 Si 2.84
Er 0.0000 0.0000 0.0000  3 Si 2.82, 3 Mo 2.82, 2 Er 2.84

Computed properties:
For the total energy, the calculation gives -6.43 eV per atom.

Density functional theory data (GGA-PBE) for crystalline ErSiMo at its relaxed geometry.

Lattice parameters (Å, degrees): 4.4290 4.4290 4.4290 60.00 60.00 60.00
Last column: nearest neighbours and their distance in Å.
Fractional positions:
Mo 0.7500 0.7500 0.7500  4 Si 2.71
Er 0.2500 0.2500 0.2500  4 Si 2.71
Si 0.0000 0.0000 0.0000  4 Mo 2.71, 4 Er 2.71

Computed properties:
For the total energy, the calculation gives -6.94 eV per atom.

Density functional theory data (GGA-PBE) for crystalline ErSiMo at its relaxed geometry.

Lattice parameters (Å, degrees): 4.6638 4.6638 4.6638 60.00 60.00 60.00
Last column: nearest neighbours and their distance in Å.
Fractional positions:
Mo 0.2500 0.2500 0.2500  4 Er 2.86
Si 0.7500 0.7500 0.7500  4 Er 2.86
Er 0.0000 0.0000 0.0000  4 Mo 2.86, 4 Si 2.86

Computed properties:
For the total energy, the calculation gives -5.84 eV per atom.

Density functional theory data (GGA-PBE) for crystalline ErSnMo at its relaxed geometry.

Lattice parameters (Å, degrees): 4.7263 4.7263 4.7263 60.00 60.00 60.00
Last column: nearest neighbours and their distance in Å.
Fractional positions:
Mo 0.0000 0.0000 0.0000  4 Er 2.89, 4 Sn 2.89
Er 0.2500 0.2500 0.2500  4 Mo 2.89
Sn 0.7500 0.7500 0.7500  4 Mo 2.89

Computed properties:
For the total energy, the calculation gives -6.07 eV per atom.

Density functional theory data (GGA-PBE) for crystalline ErTeMo at its relaxed geometry.

Lattice parameters (Å, degrees): 4.6701 4.6701 4.6701 60.00 60.00 60.00
Last column: nearest neighbours and their distance in Å.
Fractional positions:
Te 0.7500 0.7500 0.7500  4 Mo 2.86
Er 0.2500 0.2500 0.2500  4 Mo 2.86
Mo 0.0000 0.0000 0.0000  4 Er 2.86, 4 Te 2.86

Computed properties:
For the total energy, the calculation gives -5.96 eV per atom. The energy above the lowest structure with this stoichiometry is 0.000 eV per formula unit.

Density functional theory data (GGA-PBE) for crystalline ErUMo at its relaxed geometry.

Lattice parameters (Å, degrees): 4.7192 4.7192 4.7192 60.00 60.00 60.00
Last column: nearest neighbours and their distance in Å.
Fractional positions:
Er 0.2500 0.2500 0.2500  4 Mo 2.89
U 0.7500 0.7500 0.7500  4 Mo 2.89
Mo 0.0000 0.0000 0.0000  4 Er 2.89, 4 U 2.89

Computed properties:
For the total energy, the calculation gives -8.15 eV per atom. The energy above the lowest structure with this stoichiometry is 0.000 eV per formula unit. The value obtained for the formation enthalpy at 0 K is 755 meV/atom.

Density functional theory data (GGA-PBE) for crystalline YErMo at its relaxed geometry.

Lattice parameters (Å, degrees): 4.9284 4.9284 4.9284 60.00 60.00 60.00
Last column: nearest neighbours and their distance in Å.
Fractional positions:
Y 0.0000 0.0000 0.0000  4 Er 3.02, 4 Mo 3.02
Mo 0.7500 0.7500 0.7500  4 Y 3.02
Er 0.2500 0.2500 0.2500  4 Y 3.02

Computed properties:
For the total energy, the calculation gives -6.01 eV per atom. The value obtained for the formation enthalpy at 0 K is 1285 meV/atom.

Density functional theory data (GGA-PBE) for crystalline ErZnMo at its relaxed geometry.

Lattice parameters (Å, degrees): 4.4746 4.4746 4.4746 60.00 60.00 60.00
Last column: nearest neighbours and their distance in Å.
Fractional positions:
Zn 0.0000 0.0000 0.0000  4 Mo 2.74, 4 Er 2.74
Er 0.2500 0.2500 0.2500  4 Zn 2.74
Mo 0.7500 0.7500 0.7500  4 Zn 2.74

Computed properties:
For the total energy, the calculation gives -4.97 eV per atom. The energy above the lowest structure with this stoichiometry is 0.000 eV per formula unit. The value obtained for the formation enthalpy at 0 K is 587 meV/atom.

Density functional theory data (GGA-PBE) for crystalline ErZnMo at its relaxed geometry.

Lattice parameters (Å, degrees): 4.6729 4.6729 4.6729 60.00 60.00 60.00
Last column: nearest neighbours and their distance in Å.
Fractional positions:
Mo 0.2500 0.2500 0.2500  4 Er 2.86
Er 0.0000 0.0000 0.0000  4 Zn 2.86, 4 Mo 2.86
Zn 0.7500 0.7500 0.7500  4 Er 2.86

Computed properties:
For the total energy, the calculation gives -4.42 eV per atom. The energy above the lowest structure with this stoichiometry is 1.647 eV per formula unit. The value obtained for the formation enthalpy at 0 K is 1136 meV/atom.

Density functional theory data (GGA-PBE) for crystalline ErZrMo at its relaxed geometry.

Lattice parameters (Å, degrees): 4.6823 4.6823 4.6823 60.00 60.00 60.00
Last column: nearest neighbours and their distance in Å.
Fractional positions:
Er 0.2500 0.2500 0.2500  4 Zr 2.87
Mo 0.7500 0.7500 0.7500  4 Zr 2.87
Zr 0.0000 0.0000 0.0000  4 Mo 2.87, 4 Er 2.87

Computed properties:
For the total energy, the calculation gives -7.00 eV per atom. The value obtained for the formation enthalpy at 0 K is 989 meV/atom.

Density functional theory data (GGA-PBE) for crystalline Er2N3 at its relaxed geometry.

Lattice parameters (Å, degrees): 5.8677 5.8677 6.1163 118.66 61.34 120.00
Last column: nearest neighbours and their distance in Å.
Fractional positions:
N 0.7500 0.9659 0.7500  4 Er 2.30-2.35
N 0.4659 0.2500 0.7500  4 Er 2.30-2.35
N 0.0341 0.5341 0.7500  4 Er 2.30-2.35
N 0.2500 0.0341 0.2500  4 Er 2.30-2.35
N 0.5341 0.7500 0.2500  4 Er 2.30-2.35
N 0.9659 0.4659 0.2500  4 Er 2.30-2.35
Er 0.8581 0.1419 0.4256  6 N 2.30-2.35
Er 0.6419 0.3581 0.0744  6 N 2.30-2.35
Er 0.3581 0.6419 0.9256  6 N 2.30-2.35
Er 0.1419 0.8581 0.5744  6 N 2.30-2.35

Computed properties:
For the total energy, the calculation gives -7.33 eV per atom.

Density functional theory data (GGA-PBE) for crystalline ErN at its relaxed geometry.

Lattice parameters (Å, degrees): 3.4133 3.4133 3.4133 60.00 60.00 60.00
Last column: nearest neighbours and their distance in Å.
Fractional positions:
Er 0.0000 0.0000 0.0000  6 N 2.41
N 0.5000 0.5000 0.5000  6 Er 2.41

Computed properties:
For the total energy, the calculation gives -8.23 eV per atom.